## AsRu2Rh2 (PBE)

Data for AsRu2Rh2 after structural relaxation.

It has space group P4/mbm (No. 127), with a = 7.554 Å, b = 7.554 Å, c = 2.741 Å, α = 90.00°, β = 90.00° and γ = 90.00°. The distinct sites, in fractional coordinates, are As at (0.000, 0.000, 0.000), Ru at (0.119, 0.381, 0.500) and Rh at (0.176, 0.676, 0.000).

The value obtained for the calculated formation energy is 1.642 eV per formula unit. Its crystal system is tetragonal. The density is 10.25 g/cm³. As for the offset from the most stable computed form: 0.0 meV/atom.